Entry 1:
## Ho2Ni2Ag3 (PBE)

Data for an optimized crystal structure of Ho2Ni2Ag3.

```
data_Ho2Ni2Ag3
_cell_length_a 9.898
_cell_length_b 9.898
_cell_length_c 3.567
_cell_angle_alpha 90.00
_cell_angle_beta 90.00
_cell_angle_gamma 157.55
_space_group_name_H-M_alt 'P 1'
_space_group_IT_number 1
_space_group_name_Hall 'P 1'
loop_
_atom_site_label
_atom_site_type_symbol
_atom_site_fract_x
_atom_site_fract_y
_atom_site_fract_z
Ho1 Ho 0.165 0.835 0.000
Ho2 Ho 0.835 0.165 0.000
Ni1 Ni 0.286 0.714 0.500
Ni2 Ni 0.714 0.286 0.500
Ag1 Ag 0.000 0.000 0.000
Ag2 Ag 0.428 0.572 0.500
Ag3 Ag 0.572 0.428 0.500
```

As for the total magnetization: 0.00 μB per formula unit. As for the uncorrected energy: -4.510 eV/atom.


Entry 2:
## Ho4NiAg (PBE)

Data for an optimized crystal structure of Ho4NiAg.

```
data_Ho4NiAg
_cell_length_a 9.398
_cell_length_b 9.398
_cell_length_c 9.398
_cell_angle_alpha 60.00
_cell_angle_beta 60.00
_cell_angle_gamma 60.00
_space_group_name_H-M_alt 'P 1'
_space_group_IT_number 1
_space_group_name_Hall 'P 1'
loop_
_atom_site_label
_atom_site_type_symbol
_atom_site_fract_x
_atom_site_fract_y
_atom_site_fract_z
Ho1 Ho 0.186 0.186 0.814
Ho2 Ho 0.186 0.814 0.186
Ho3 Ho 0.186 0.814 0.814
Ho4 Ho 0.399 0.399 0.399
Ho5 Ho 0.399 0.399 0.802
Ho6 Ho 0.399 0.802 0.399
Ho7 Ho 0.561 0.561 0.939
Ho8 Ho 0.561 0.939 0.561
Ho9 Ho 0.561 0.939 0.939
Ho10 Ho 0.802 0.399 0.399
Ho11 Ho 0.814 0.186 0.186
Ho12 Ho 0.814 0.186 0.814
Ho13 Ho 0.814 0.814 0.186
Ho14 Ho 0.939 0.561 0.561
Ho15 Ho 0.939 0.561 0.939
Ho16 Ho 0.939 0.939 0.561
Ni1 Ni 0.180 0.607 0.607
Ni2 Ni 0.607 0.180 0.607
Ni3 Ni 0.607 0.607 0.180
Ni4 Ni 0.607 0.607 0.607
Ag1 Ag 0.168 0.168 0.168
Ag2 Ag 0.168 0.168 0.497
Ag3 Ag 0.168 0.497 0.168
Ag4 Ag 0.497 0.168 0.168
```

As for the total magnetization: 0.00 μB per formula unit. As for the uncorrected energy: -4.789 eV/atom.


Entry 3:
## Ho12Ni6Ag (PBE)

Data for an optimized crystal structure of Ho12Ni6Ag.

```
data_Ho12Ni6Ag
_cell_length_a 8.329
_cell_length_b 8.329
_cell_length_c 8.329
_cell_angle_alpha 109.47
_cell_angle_beta 109.47
_cell_angle_gamma 109.47
_space_group_name_H-M_alt 'P 1'
_space_group_IT_number 1
_space_group_name_Hall 'P 1'
loop_
_atom_site_label
_atom_site_type_symbol
_atom_site_fract_x
_atom_site_fract_y
_atom_site_fract_z
Ho1 Ho 0.116 0.303 0.814
Ho2 Ho 0.186 0.489 0.303
Ho3 Ho 0.186 0.884 0.697
Ho4 Ho 0.303 0.186 0.489
Ho5 Ho 0.303 0.814 0.116
Ho6 Ho 0.489 0.303 0.186
Ho7 Ho 0.511 0.697 0.814
Ho8 Ho 0.697 0.186 0.884
Ho9 Ho 0.697 0.814 0.511
Ho10 Ho 0.814 0.116 0.303
Ho11 Ho 0.814 0.511 0.697
Ho12 Ho 0.884 0.697 0.186
Ni1 Ni 0.125 0.500 0.625
Ni2 Ni 0.375 0.875 0.500
Ni3 Ni 0.500 0.375 0.875
Ni4 Ni 0.500 0.625 0.125
Ni5 Ni 0.625 0.125 0.500
Ni6 Ni 0.875 0.500 0.375
Ag1 Ag 0.000 0.000 0.000
```

As for the total magnetization: 0.00 μB per formula unit. As for the uncorrected energy: -5.194 eV/atom.


Entry 4:
## Ho8Ni2Ag (PBE)

Data for an optimized crystal structure of Ho8Ni2Ag.

```
data_Ho8Ni2Ag
_cell_length_a 7.702
_cell_length_b 7.702
_cell_length_c 5.494
_cell_angle_alpha 98.04
_cell_angle_beta 98.04
_cell_angle_gamma 114.32
_space_group_name_H-M_alt 'P 1'
_space_group_IT_number 1
_space_group_name_Hall 'P 1'
loop_
_atom_site_label
_atom_site_type_symbol
_atom_site_fract_x
_atom_site_fract_y
_atom_site_fract_z
Ho1 Ho 0.076 0.334 0.587
Ho2 Ho 0.240 0.760 0.000
Ho3 Ho 0.334 0.076 0.587
Ho4 Ho 0.381 0.381 0.191
Ho5 Ho 0.619 0.619 0.809
Ho6 Ho 0.666 0.924 0.413
Ho7 Ho 0.760 0.240 0.000
Ho8 Ho 0.924 0.666 0.413
Ni1 Ni 0.303 0.697 0.500
Ni2 Ni 0.697 0.303 0.500
Ag1 Ag 0.000 0.000 0.000
```

As for the total magnetization: 0.00 μB per formula unit. As for the uncorrected energy: -4.756 eV/atom.